Entry 1:
VASP calculation (PBE) on SrTlI2Cl after structural relaxation.

Summary:
Raw formation energy   -1.4481 eV/atom
Total moment   0.000 μB per formula unit
Energy above the lowest structure with this stoichiometry   0 meV per atom

Cell: 4.7214 9.3988 10.1545 Å, 103.97 90.00 90.00°
Positions (direct):
Sr (0.2500, 0.8110, 0.8204)
Sr (0.7500, 0.1890, 0.1796)
Tl (0.2500, 0.7104, 0.3276)
Tl (0.7500, 0.2896, 0.6724)
I (0.7500, 0.8694, 0.6133)
I (0.7500, 0.8181, 0.0556)
I (0.2500, 0.1306, 0.3867)
I (0.2500, 0.1819, 0.9444)
Cl (0.2500, 0.5087, 0.7212)
Cl (0.7500, 0.4913, 0.2788)

Entry 2:
VASP calculation (PBE) on SrTlI2Cl after structural relaxation.

Summary:
Raw formation energy   -1.3852 eV/atom
Total moment   0.000 μB per formula unit
Energy above the lowest structure with this stoichiometry   63 meV per atom

Cell: 6.4685 6.4685 5.5533 Å, 90.00 90.00 90.00°
Positions (direct):
I (0.0000, 0.5000, 0.0000)
I (0.5000, 0.0000, 0.0000)
Sr (0.0000, 0.0000, 0.0000)
Tl (0.5000, 0.5000, 0.5000)
Cl (0.0000, 0.0000, 0.5000)